A relaxed Nd3Sm2DyEr6 crystal. Source: Alexandria, functional GGA-PBE.

The value obtained for the formation energy is 0.02 eV/atom. As for the volume: 32.09 Å³/atom. The value obtained for the density of states at the Fermi level is 27.8 states/eV per cell. The calculation puts the energy at -111.05 eV per cell.

The structure belongs to space group C2/m (No. 12); the cell edges are 6.2012, 10.7369 and 11.7499 Å and the angles 90.00°, 100.09° and 90.00°. The inequivalent atoms are Nd at (0.0000, 0.0000, 0.0000), Nd at (0.0000, 0.3333, 0.0000), Sm at (0.0000, 0.1666, 0.5000), Dy at (0.0000, 0.5000, 0.5000), Er at (0.2492, 0.3335, 0.7480) and Er at (0.2497, 0.0000, 0.7481).

A relaxed Mn6Cl7 crystal. Source: Alexandria, functional GGA-PBE.

The calculation puts the uncorrected formation energy at -0.146 eV per atom. As for the volume: 29.00 Å³/atom. The value obtained for the density of states at the Fermi level is 17.3 states/eV per cell. The calculation puts the energy at -209.54 eV per cell.

The structure belongs to space group R-3m (No. 166, hexagonal axes); the cell edges are 6.5805, 6.5805 and 30.1537 Å and the angles 90.00°, 90.00° and 120.00°. The inequivalent atoms are Mn at (0.0000, 0.0000, 0.1435), Mn at (0.0000, 0.0000, 0.2275), Mn at (0.0000, 0.0000, 0.3316), Cl at (0.0000, 0.0000, 0.5000) and Cl at (0.0018, 0.5009, 0.0557).